No. 1
The following is a meta-GGA SCAN calculation of a PBEsol-optimized structure of PrZn5, from the Alexandria database.

abc: 5.3076 5.3076 4.1813
angles: 90.00 90.00 120.00
Fractional positions:
Pr1 0.0000 0.0000 0.0000
Zn1 0.0000 0.5000 0.5000
Zn2 0.3333 0.6667 0.0000
Zn3 0.5000 0.0000 0.5000
Zn4 0.5000 0.5000 0.5000
Zn5 0.6667 0.3333 0.0000

Its total magnetic moment is 0.00 μB/cell. The calculation puts the total energy at -18.863 eV per atom.

=====

No. 2
The following is a meta-GGA SCAN calculation of a PBEsol-optimized structure of TaCd4Te, from the Alexandria database.

abc: 5.6230 5.6230 5.6230
angles: 60.00 60.00 60.00
Fractional positions:
Ta1 0.0000 0.0000 0.0000
Cd1 0.1223 0.6259 0.6259
Cd2 0.6259 0.1223 0.6259
Cd3 0.6259 0.6259 0.1223
Cd4 0.6259 0.6259 0.6259
Te1 0.2500 0.2500 0.2500

Its total magnetic moment is 2.01 μB/cell. Its formation energy (no corrections) is 571 meV per atom. The calculation puts the total energy at -37.011 eV per atom.

=====

No. 3
The following is a meta-GGA SCAN calculation of a PBEsol-optimized structure of Rb3LuCl6, from the Alexandria database.

abc: 7.8837 7.8837 7.8837
angles: 60.00 60.00 60.00
Fractional positions:
Rb1 0.0000 0.0000 0.0000
Rb2 0.2500 0.2500 0.2500
Rb3 0.7500 0.7500 0.7500
Lu1 0.5000 0.5000 0.5000
Cl1 0.2720 0.2720 0.7280
Cl2 0.2720 0.7280 0.2720
Cl3 0.2720 0.7280 0.7280
Cl4 0.7280 0.2720 0.2720
Cl5 0.7280 0.2720 0.7280
Cl6 0.7280 0.7280 0.2720

Its total magnetic moment is 0.00 μB/cell. Its formation energy (no corrections) is -2317 meV per atom. The calculation puts the total energy at -18.860 eV per atom.

=====

No. 4
The following is a meta-GGA SCAN calculation of a PBEsol-optimized structure of TcPt3Br, from the Alexandria database.

abc: 4.6270 4.6270 4.6270
angles: 90.00 90.00 90.00
Fractional positions:
Tc1 0.0000 0.0000 0.0000
Pt1 0.0000 0.5000 0.5000
Pt2 0.5000 0.0000 0.5000
Pt3 0.5000 0.5000 0.0000
Br1 0.5000 0.5000 0.5000

Its total magnetic moment is 4.06 μB/cell. Its formation energy (no corrections) is 1555 meV per atom. The calculation puts the total energy at -51.465 eV per atom.

=====

No. 5
The following is a meta-GGA SCAN calculation of a PBEsol-optimized structure of CsSiB3, from the Alexandria database.

abc: 4.2830 4.2830 4.2830
angles: 90.00 90.00 90.00
Fractional positions:
Cs1 0.0000 0.0000 0.0000
Si1 0.5000 0.5000 0.5000
B1 0.0000 0.5000 0.5000
B2 0.5000 0.0000 0.5000
B3 0.5000 0.5000 0.0000

Its total magnetic moment is 1.37 μB/cell. Its formation energy (no corrections) is 1778 meV per atom. The calculation puts the total energy at -12.245 eV per atom.

=====

No. 6
The following is a meta-GGA SCAN calculation of a PBEsol-optimized structure of Si2TcW, from the Alexandria database.

abc: 3.1103 3.1103 5.5524
angles: 90.00 90.00 90.00
Fractional positions:
Si1 0.0000 0.0000 0.0000
Si2 0.5000 0.5000 0.2491
Tc1 0.0000 0.0000 0.4597
W1 0.5000 0.5000 0.7764

Its total magnetic moment is 0.00 μB/cell. Its formation energy (no corrections) is -356 meV per atom. The calculation puts the total energy at -31.551 eV per atom.

=====

No. 7
The following is a meta-GGA SCAN calculation of a PBEsol-optimized structure of BaLi2Pt, from the Alexandria database.

abc: 4.8761 4.8761 5.2761
angles: 104.16 104.16 47.92
Fractional positions:
Ba1 0.0000 0.0000 0.0000
Li1 0.2008 0.2008 0.6055
Li2 0.7992 0.7992 0.3945
Pt1 0.5000 0.5000 0.5000

Its total magnetic moment is 0.00 μB/cell. The calculation puts the total energy at -29.078 eV per atom.

=====

No. 8
The following is a meta-GGA SCAN calculation of a PBEsol-optimized structure of MgTi2NbBi, from the Alexandria database.

abc: 4.6939 4.6939 4.8110
angles: 90.00 90.00 90.00
Fractional positions:
Mg1 0.0000 0.0000 0.0000
Ti1 0.0000 0.5000 0.0000
Ti2 0.5000 0.0000 0.0000
Nb1 0.0000 0.0000 0.5000
Bi1 0.5000 0.5000 0.5000

Its total magnetic moment is 0.00 μB/cell. The calculation puts the total energy at -28.651 eV per atom.

=====

No. 9
The following is a meta-GGA SCAN calculation of a PBEsol-optimized structure of Ag2Br, from the Alexandria database.

abc: 4.6131 4.6131 4.6131
angles: 60.00 60.00 60.00
Fractional positions:
Ag1 0.2500 0.2500 0.2500
Ag2 0.7500 0.7500 0.7500
Br1 0.0000 0.0000 0.0000

Its total magnetic moment is 0.00 μB/cell. Its formation energy (no corrections) is 282 meV per atom. The calculation puts the total energy at -27.116 eV per atom.

=====

No. 10
The following is a meta-GGA SCAN calculation of a PBEsol-optimized structure of MoIrRu, from the Alexandria database.

abc: 4.2793 4.2793 2.7159
angles: 90.00 90.00 120.00
Fractional positions:
Mo1 0.0000 0.0000 0.0000
Ir1 0.6667 0.3333 0.5000
Ru1 0.3333 0.6667 0.0000

Its total magnetic moment is 0.00 μB/cell. The calculation puts the total energy at -46.960 eV per atom.

=====

No. 11
The following is a meta-GGA SCAN calculation of a PBEsol-optimized structure of ScMn2Te, from the Alexandria database.

abc: 5.0096 5.0096 5.0096
angles: 132.79 132.79 68.99
Fractional positions:
Sc1 0.0000 0.0000 0.0000
Mn1 0.2500 0.7500 0.5000
Mn2 0.7500 0.2500 0.5000
Te1 0.5000 0.5000 0.0000

Its total magnetic moment is 6.12 μB/cell. Its formation energy (no corrections) is -228 meV per atom. The calculation puts the total energy at -22.228 eV per atom.

=====

No. 12
The following is a meta-GGA SCAN calculation of a PBEsol-optimized structure of YMoP2, from the Alexandria database.

abc: 4.8284 4.8284 4.5939
angles: 91.40 91.40 39.87
Fractional positions:
Y1 0.0000 0.0000 0.0000
Mo1 0.2652 0.2652 0.4895
P1 0.5545 0.5545 0.5154
P2 0.7248 0.7248 0.0991

Its total magnetic moment is 0.88 μB/cell. The calculation puts the total energy at -21.493 eV per atom.

=====

No. 13
The following is a meta-GGA SCAN calculation of a PBEsol-optimized structure of KTlHgRh2, from the Alexandria database.

abc: 5.0042 5.0042 5.4591
angles: 90.00 90.00 90.00
Fractional positions:
K1 0.0000 0.0000 0.0000
Tl1 0.5000 0.5000 0.0000
Hg1 0.0000 0.0000 0.5000
Rh1 0.0000 0.5000 0.5000
Rh2 0.5000 0.0000 0.5000

Its total magnetic moment is 0.00 μB/cell. The calculation puts the total energy at -42.299 eV per atom.

=====

No. 14
The following is a meta-GGA SCAN calculation of a PBEsol-optimized structure of Ca2MgAu, from the Alexandria database.

abc: 4.4411 6.1818 6.1818
angles: 40.64 90.00 90.00
Fractional positions:
Ca1 0.0000 0.0000 0.0000
Ca2 0.5000 0.2980 0.2980
Mg1 0.0000 0.7069 0.7069
Au1 0.5000 0.5724 0.5724

Its total magnetic moment is 0.03 μB/cell. The calculation puts the total energy at -23.903 eV per atom.

=====

No. 15
The following is a meta-GGA SCAN calculation of a PBEsol-optimized structure of BaYPbN2, from the Alexandria database.

abc: 4.6576 4.6576 5.7033
angles: 90.00 90.00 90.00
Fractional positions:
Ba1 0.0000 0.0000 0.0000
Y1 0.5000 0.5000 0.5000
Pb1 0.5000 0.5000 0.0000
N1 0.0000 0.5000 0.5000
N2 0.5000 0.0000 0.5000

Its total magnetic moment is 2.13 μB/cell. Its formation energy (no corrections) is 210 meV per atom. The calculation puts the total energy at -32.141 eV per atom.

=====

No. 16
The following is a meta-GGA SCAN calculation of a PBEsol-optimized structure of Tb3Mg, from the Alexandria database.

abc: 6.9282 6.9282 5.4509
angles: 90.00 90.00 120.00
Fractional positions:
Tb1 0.1705 0.3409 0.2500
Tb2 0.1705 0.8295 0.2500
Tb3 0.3409 0.1705 0.7500
Tb4 0.6591 0.8295 0.2500
Tb5 0.8295 0.1705 0.7500
Tb6 0.8295 0.6591 0.7500
Mg1 0.3333 0.6667 0.7500
Mg2 0.6667 0.3333 0.2500

Its total magnetic moment is 0.00 μB/cell. The calculation puts the total energy at -36.317 eV per atom.

=====

No. 17
The following is a meta-GGA SCAN calculation of a PBEsol-optimized structure of Zn2PtPb, from the Alexandria database.

abc: 4.3847 4.3847 5.2423
angles: 108.57 108.57 54.30
Fractional positions:
Zn1 0.2171 0.2171 0.1435
Zn2 0.7829 0.7829 0.8565
Pt1 0.5000 0.5000 0.0000
Pb1 0.0000 0.0000 0.5000

Its total magnetic moment is 0.00 μB/cell. The calculation puts the total energy at -43.374 eV per atom.

=====

No. 18
The following is a meta-GGA SCAN calculation of a PBEsol-optimized structure of LaY2Bi2, from the Alexandria database.

abc: 8.5227 8.5227 4.1140
angles: 90.00 90.00 90.00
Fractional positions:
La1 0.0000 0.0000 0.0000
La2 0.5000 0.5000 0.0000
Y1 0.1553 0.3447 0.5000
Y2 0.3447 0.8447 0.5000
Y3 0.6553 0.1553 0.5000
Y4 0.8447 0.6553 0.5000
Bi1 0.1434 0.6434 0.0000
Bi2 0.3566 0.1434 0.0000
Bi3 0.6434 0.8566 0.0000
Bi4 0.8566 0.3566 0.0000

Its total magnetic moment is 0.00 μB/cell. The calculation puts the total energy at -52.066 eV per atom.

=====

No. 19
The following is a meta-GGA SCAN calculation of a PBEsol-optimized structure of Zn2Mo, from the Alexandria database.

abc: 7.7246 7.7246 7.7246
angles: 153.88 153.88 37.27
Fractional positions:
Zn1 0.2980 0.5480 0.7500
Zn2 0.4520 0.7020 0.7500
Zn3 0.5480 0.2980 0.2500
Zn4 0.7020 0.4520 0.2500
Mo1 0.1250 0.8750 0.2500
Mo2 0.8750 0.1250 0.7500

Its total magnetic moment is 0.00 μB/cell. The calculation puts the total energy at -20.115 eV per atom.

=====

No. 20
The following is a meta-GGA SCAN calculation of a PBEsol-optimized structure of MnTc2Br, from the Alexandria database.

abc: 4.8722 4.8722 4.3537
angles: 94.79 94.79 35.16
Fractional positions:
Mn1 0.0000 0.0000 0.0000
Tc1 0.2820 0.2820 0.7854
Tc2 0.7180 0.7180 0.2146
Br1 0.5000 0.5000 0.5000

Its total magnetic moment is 2.40 μB/cell. Its formation energy (no corrections) is 562 meV per atom. The calculation puts the total energy at -26.397 eV per atom.